[1]
This record from Alexandria via LeMat-Bulk describes Fe2PtRh9 after structural relaxation. The functional is GGA-PBE.

Unit cell a=3.8429 b=3.8429 c=11.4750 alpha=90.00 beta=90.00 gamma=90.00
Fractional positions:
Rh 0.5000 0.5000 0.3351
Rh 0.5000 0.0000 0.8284
Rh 0.5000 0.5000 0.6649
Rh 0.5000 0.0000 0.5000
Rh 0.5000 0.0000 0.1716
Rh 0.0000 0.5000 0.8284
Rh 0.0000 0.5000 0.5000
Rh 0.0000 0.5000 0.1716
Rh 0.5000 0.5000 0.0000
Pt 0.0000 0.0000 0.0000
Fe 0.0000 0.0000 0.6653
Fe 0.0000 0.0000 0.3347

Values from the calculation:
- Energy of formation: -0.04 eV per atom
- Total moment: 6.6 μB/f.u.
- V: 169.47 Å³/cell
- DOS at the Fermi energy: 17.6 states/eV/f.u.

[2]
This record from Alexandria via LeMat-Bulk describes TePtS2 after structural relaxation. The functional is GGA-PBE.

Unit cell a=7.9985 b=7.9985 c=7.9985 alpha=26.69 beta=26.69 gamma=26.69
Fractional positions:
Te 0.0000 0.0000 0.0000
S 0.8856 0.8856 0.8856
S 0.1144 0.1144 0.1144
Pt 0.5000 0.5000 0.5000

Values from the calculation:
- Formation energy without anion corrections: -0.086 eV/atom
- Total moment: 0.0 μB/f.u.
- V: 91.04 Å³/cell
- DOS at the Fermi energy: 3.4 states/eV/f.u.

[3]
This record from Alexandria via LeMat-Bulk describes Nd6In2Os after structural relaxation. The functional is GGA-PBE.

Unit cell a=5.4536 b=7.3942 c=8.7909 alpha=114.87 beta=108.07 gamma=90.00
Fractional positions:
In 0.6681 0.6681 0.3361
In 0.3319 0.3319 0.6639
Nd 0.5000 0.7782 0.0000
Nd 0.8489 0.6037 0.6979
Nd 0.1511 0.3963 0.3021
Nd 0.5000 0.2218 0.0000
Nd 0.8489 0.0942 0.6979
Nd 0.1511 0.9058 0.3021
Os 0.0000 0.0000 0.0000

Values from the calculation:
- Energy of formation: -0.09 eV per atom
- Total moment: 0.0 μB/f.u.
- Energy relative to the lowest polymorph listed for this composition: 0.173 eV/atom
- V: 302.24 Å³/cell
- DOS at the Fermi energy: 13.2 states/eV/f.u.

[4]
This record from Alexandria via LeMat-Bulk describes Tb4Pr2Er3 after structural relaxation. The functional is GGA-PBE.

Unit cell a=6.1684 b=11.2869 c=11.2869 alpha=62.27 beta=62.05 gamma=62.05
Fractional positions:
Er 0.7637 0.0666 0.2634
Er 0.7500 0.4003 0.5997
Er 0.2363 0.9334 0.7366
Er 0.2500 0.5997 0.4003
Er 0.2637 0.2634 0.0666
Er 0.7363 0.7366 0.9334
Pr 0.0783 0.4765 0.7662
Pr 0.5783 0.7662 0.4765
Pr 0.9217 0.5235 0.2338
Pr 0.4217 0.2338 0.5235
Tb 0.9201 0.1869 0.9076
Tb 0.4152 0.5774 0.8551
Tb 0.9152 0.8551 0.5774
Tb 0.5848 0.4226 0.1449
Tb 0.5799 0.0924 0.8131
Tb 0.0848 0.1449 0.4226
Tb 0.4201 0.9076 0.1869
Tb 0.0799 0.8131 0.0924

Values from the calculation:
- Energy of formation: 0.09 eV per atom
- Total moment: 0.0 μB/f.u.
- V: 582.02 Å³/cell
- DOS at the Fermi energy: 12.2 states/eV/f.u.

[5]
This record from Alexandria via LeMat-Bulk describes Dy2InHg after structural relaxation. The functional is GGA-PBE.

Unit cell a=3.7333 b=3.7333 c=7.5189 alpha=90.00 beta=90.00 gamma=90.00
Fractional positions:
Hg 0.5000 0.5000 0.0000
In 0.5000 0.5000 0.5000
Dy 0.0000 0.0000 0.7556
Dy 0.0000 0.0000 0.2444

Values from the calculation:
- Energy of formation: -0.48 eV per atom
- Total moment: 0.0 μB/f.u.
- V: 104.80 Å³/cell
- DOS at the Fermi energy: 3.9 states/eV/f.u.

[6]
This record from Alexandria via LeMat-Bulk describes NbZn2P after structural relaxation. The functional is GGA-PBE.

Unit cell a=7.2724 b=7.2724 c=5.7056 alpha=50.41 beta=50.41 gamma=90.00
Fractional positions:
Zn 0.1640 0.6250 0.2500
Zn 0.8750 0.8360 0.7500
Zn 0.3750 0.4140 0.7500
Zn 0.5860 0.1250 0.2500
Nb 0.0000 0.0000 0.0000
Nb 0.7500 0.2500 0.5000
P 0.5000 0.5000 0.0000
P 0.2500 0.7500 0.5000

Values from the calculation:
- Energy of formation: 0.03 eV per atom
- Total moment: 0.0 μB/f.u.
- V: 130.74 Å³/cell
- DOS at the Fermi energy: 2.1 states/eV/f.u.

[7]
This record from Alexandria via LeMat-Bulk describes KCdI3 after structural relaxation. The functional is GGA-PBE.

Unit cell a=6.6146 b=6.6146 c=6.6146 alpha=90.00 beta=90.00 gamma=90.00
Fractional positions:
I 0.0000 0.5000 0.0000
I 0.0000 0.0000 0.5000
I 0.5000 0.0000 0.0000
Cd 0.5000 0.5000 0.5000
K 0.0000 0.0000 0.0000

Values from the calculation:
- Formation energy without anion corrections: -0.104 eV/atom
- Total moment: 2.0 μB/f.u.
- Energy relative to the lowest polymorph listed for this composition: 0.838 eV/atom
- V: 289.41 Å³/cell
- DOS at the Fermi energy: 8.0 states/eV/f.u.

[8]
This record from Alexandria via LeMat-Bulk describes CoAg2Ru after structural relaxation. The functional is GGA-PBE.

Unit cell a=5.0542 b=5.0542 c=5.0542 alpha=136.01 beta=136.01 gamma=63.97
Fractional positions:
Ag 0.0000 0.0000 0.0000
Ag 0.5000 0.5000 0.0000
Ru 0.7500 0.2500 0.5000
Co 0.2500 0.7500 0.5000

Values from the calculation:
- Energy of formation: 0.57 eV per atom
- Total moment: 3.5 μB/f.u.
- Energy relative to the lowest polymorph listed for this composition: 0.252 eV/atom
- V: 61.45 Å³/cell
- DOS at the Fermi energy: 2.8 states/eV/f.u.

[9]
This record from Alexandria via LeMat-Bulk describes Nd2PuAgTe5 after structural relaxation. The functional is GGA-PBE.

Unit cell a=4.4083 b=9.7154 c=13.3528 alpha=90.00 beta=90.00 gamma=103.11
Fractional positions:
Nd 0.8881 0.7761 0.1855
Nd 0.8744 0.7489 0.8056
Nd 0.1256 0.2511 0.3056
Nd 0.1119 0.2239 0.6855
Te 0.0434 0.0869 0.0784
Te 0.9566 0.9131 0.5784
Te 0.3072 0.6143 0.3393
Te 0.7112 0.4224 0.1694
Te 0.2888 0.5776 0.6694
Te 0.3616 0.7232 0.9998
Te 0.5013 0.0027 0.2778
Te 0.6384 0.2768 0.4998
Te 0.4987 0.9973 0.7778
Te 0.6928 0.3857 0.8393
Ag 0.5664 0.1327 0.9604
Ag 0.4336 0.8673 0.4604
Pu 0.1960 0.3920 0.0077
Pu 0.8040 0.6080 0.5077

Values from the calculation:
- Formation energy without anion corrections: -1.058 eV/atom
- Total moment: 5.0 μB/f.u.
- V: 556.97 Å³/cell
- DOS at the Fermi energy: 14.4 states/eV/f.u.

[10]
This record from Alexandria via LeMat-Bulk describes Nd4Tm2Tl after structural relaxation. The functional is GGA-PBE.

Unit cell a=3.5602 b=8.7176 c=8.5146 alpha=116.59 beta=102.07 gamma=90.00
Fractional positions:
Nd 0.6379 0.4053 0.2758
Nd 0.0834 0.7077 0.1667
Nd 0.9166 0.2923 0.8333
Nd 0.3621 0.5947 0.7242
Tl 0.0000 0.0000 0.0000
Tm 0.2150 0.1381 0.4299
Tm 0.7850 0.8619 0.5701

Values from the calculation:
- Energy of formation: -0.01 eV per atom
- Total moment: 0.0 μB/f.u.
- V: 229.76 Å³/cell
- DOS at the Fermi energy: 8.5 states/eV/f.u.

[11]
This record from Alexandria via LeMat-Bulk describes BrF after structural relaxation. The functional is GGA-PBE.

Unit cell a=7.1456 b=7.9459 c=7.6547 alpha=90.00 beta=90.00 gamma=90.00
Fractional positions:
F 0.2603 0.5973 0.8731
F 0.1115 0.8331 0.3721
F 0.2397 0.4027 0.3731
F 0.6115 0.6669 0.6279
F 0.3885 0.1669 0.8721
F 0.7603 0.9027 0.1269
F 0.7397 0.0973 0.6269
F 0.8885 0.3331 0.1279
Br 0.4235 0.5227 0.4941
Br 0.1680 0.0674 0.6969
Br 0.9235 0.9773 0.5059
Br 0.5765 0.0227 0.0059
Br 0.0765 0.4773 0.9941
Br 0.6680 0.4326 0.3031
Br 0.3320 0.9326 0.1969
Br 0.8320 0.5674 0.8031

Values from the calculation:
- Formation energy without anion corrections: -0.597 eV/atom
- Total moment: 0.0 μB/f.u.
- V: 434.61 Å³/cell
- DOS at the Fermi energy: 0.0 states/eV/f.u.

[12]
This record from Alexandria via LeMat-Bulk describes KBiPb2Se4 after structural relaxation. The functional is GGA-PBE.

Unit cell a=8.7719 b=8.7719 c=8.7739 alpha=120.01 beta=120.01 gamma=89.37
Fractional positions:
Se 0.2529 0.2471 0.4892
Se 0.7326 0.2452 0.4889
Se 0.7453 0.2326 0.9889
Se 0.2549 0.7674 0.0111
Se 0.2529 0.2471 0.0108
Se 0.2674 0.7547 0.5111
Se 0.7471 0.7529 0.9892
Se 0.7471 0.7529 0.5108
Pb 0.4999 0.5001 0.0000
Pb 0.5000 0.0000 0.5000
Pb 0.5000 0.0000 0.0000
Pb 0.9999 0.0000 0.5000
K 0.0000 0.5000 0.0000
K 0.0000 0.5000 0.5000
Bi 0.5000 0.5000 0.5000
Bi 0.9999 0.0000 0.0000

Values from the calculation:
- Formation energy without anion corrections: -0.616 eV/atom
- Total moment: 0.0 μB/f.u.
- V: 479.84 Å³/cell
- DOS at the Fermi energy: 2.5 states/eV/f.u.